P:
Crystalline LiMg6Hg12 at its relaxed geometry, computed with GGA-PBE.

- Density: 9.9 g/cm3

```
data_LiMg6Hg12
_chemical_formula_sum 'Li3 Mg18 Hg36'
_cell_length_a 11.0145
_cell_length_b 11.0145
_cell_length_c 12.2217
_cell_angle_alpha 90.00
_cell_angle_beta 90.00
_cell_angle_gamma 120.00
_space_group_name_H-M_alt 'R -3'
_space_group_IT_number 148
_space_group_name_Hall '-R 3'
loop_
_atom_site_label
_atom_site_type_symbol
_atom_site_fract_x
_atom_site_fract_y
_atom_site_fract_z
Li1 Li 0.0000 0.0000 0.0000
Mg1 Mg 0.0176 0.4237 0.7170
Hg1 Hg 0.0415 0.1860 0.8338
Hg2 Hg 0.0525 0.8507 0.4005
```


Q:
Crystalline LiMg6Hg12 at its relaxed geometry, computed with GGA-PBE.

- Density: 9.9 g/cm3

```
data_LiMg6Hg12
_chemical_formula_sum 'Li3 Mg18 Hg36'
_cell_length_a 13.2761
_cell_length_b 13.2761
_cell_length_c 8.4472
_cell_angle_alpha 90.00
_cell_angle_beta 90.00
_cell_angle_gamma 120.00
_space_group_name_H-M_alt 'R -3'
_space_group_IT_number 148
_space_group_name_Hall '-R 3'
loop_
_atom_site_label
_atom_site_type_symbol
_atom_site_fract_x
_atom_site_fract_y
_atom_site_fract_z
Li1 Li 0.0000 0.0000 0.0000
Mg1 Mg 0.0220 0.2668 0.3118
Hg1 Hg 0.0057 0.1410 0.6616
Hg2 Hg 0.0718 0.5699 0.6843
```


Least stable of them? Q.


P:
Crystalline Li4Mg3Hg at its relaxed geometry, computed with GGA-PBE.

- Density: 3.0 g/cm3

```
data_Li4Mg3Hg
_chemical_formula_sum 'Li8 Mg6 Hg2'
_cell_length_a 5.724
_cell_length_b 10.045
_cell_length_c 5.740
_cell_angle_alpha 90.00
_cell_angle_beta 90.00
_cell_angle_gamma 90.00
_space_group_name_H-M_alt 'I m m 2'
_space_group_IT_number 44
loop_
_space_group_symop_operation_xyz
'x,y,z'
'-x,-y,z'
'-x,y,z'
'x,-y,z'
'x+1/2,y+1/2,z+1/2'
'-x+1/2,-y+1/2,z+1/2'
'-x+1/2,y+1/2,z+1/2'
'x+1/2,-y+1/2,z+1/2'
loop_
_atom_site_label
_atom_site_type_symbol
_atom_site_fract_x
_atom_site_fract_y
_atom_site_fract_z
Li1 Li 0.000 0.240 0.000
Li2 Li 0.249 0.000 0.763
Mg1 Mg 0.000 0.237 0.493
Mg2 Mg 0.000 0.500 0.775
Hg1 Hg 0.000 0.000 0.213
```


Q:
Crystalline Li4Mg3Hg at its relaxed geometry, computed with GGA-PBE.

- Density: 3.2 g/cm3

```
data_Li4Mg3Hg
_chemical_formula_sum 'Li8 Mg6 Hg2'
_cell_length_a 16.676
_cell_length_b 4.410
_cell_length_c 4.413
_cell_angle_alpha 90.00
_cell_angle_beta 105.28
_cell_angle_gamma 90.00
_space_group_name_H-M_alt 'C 1 2/m 1'
_space_group_IT_number 12
loop_
_space_group_symop_operation_xyz
'x,y,z'
'-x,-y,-z'
'-x,y,-z'
'x,-y,z'
'x+1/2,y+1/2,z'
'-x+1/2,-y+1/2,-z'
'-x+1/2,y+1/2,-z'
'x+1/2,-y+1/2,z'
loop_
_atom_site_label
_atom_site_type_symbol
_atom_site_fract_x
_atom_site_fract_y
_atom_site_fract_z
Li1 Li 0.120 0.000 0.120
Li2 Li 0.120 0.500 0.621
Mg1 Mg 0.000 0.000 0.500
Mg2 Mg 0.249 0.000 0.748
Hg1 Hg 0.000 0.500 0.000
```


Least stable of them? P.


P:
Crystalline Li2MgHg5 at its relaxed geometry, computed with GGA-PBE.

- Density: 10.1 g/cm3

```
data_Li2MgHg5
_chemical_formula_sum 'Li8 Mg4 Hg20'
_cell_length_a 7.771
_cell_length_b 7.771
_cell_length_c 11.317
_cell_angle_alpha 90.00
_cell_angle_beta 90.00
_cell_angle_gamma 90.00
_space_group_name_H-M_alt 'I 4/m c m'
_space_group_IT_number 140
_space_group_name_Hall '-I 4 2c'
loop_
_atom_site_label
_atom_site_type_symbol
_atom_site_fract_x
_atom_site_fract_y
_atom_site_fract_z
Li1 Li 0.144 0.356 0.000
Mg1 Mg 0.000 0.000 0.250
Hg1 Hg 0.000 0.000 0.000
Hg2 Hg 0.153 0.347 0.345
```


Q:
Crystalline Li2MgHg5 at its relaxed geometry, computed with GGA-PBE.

- Density: 10.4 g/cm3

```
data_Li2MgHg5
_chemical_formula_sum 'Li4 Mg2 Hg10'
_cell_length_a 4.836
_cell_length_b 4.836
_cell_length_c 14.256
_cell_angle_alpha 90.00
_cell_angle_beta 90.00
_cell_angle_gamma 90.00
_space_group_name_H-M_alt 'I 4/m m m'
_space_group_IT_number 139
_space_group_name_Hall '-I 4 2'
loop_
_atom_site_label
_atom_site_type_symbol
_atom_site_fract_x
_atom_site_fract_y
_atom_site_fract_z
Li1 Li 0.000 0.000 0.250
Mg1 Mg 0.000 0.000 0.000
Hg1 Hg 0.000 0.000 0.500
Hg2 Hg 0.000 0.500 0.138
```


Least stable of them? P.


P:
Crystalline Li4MgHg7 at its relaxed geometry, computed with GGA-PBE.

- Density: 9.9 g/cm3

```
data_Li4MgHg7
_chemical_formula_sum 'Li4 Mg1 Hg7'
_cell_length_a 4.7947
_cell_length_b 4.7947
_cell_length_c 12.2890
_cell_angle_alpha 90.00
_cell_angle_beta 90.00
_cell_angle_gamma 120.00
_space_group_name_H-M_alt 'P -3 m 1'
_space_group_IT_number 164
_space_group_name_Hall '-P 3 2"'
loop_
_atom_site_label
_atom_site_type_symbol
_atom_site_fract_x
_atom_site_fract_y
_atom_site_fract_z
Li1 Li 0.3333 0.6667 0.1606
Li2 Li 0.3333 0.6667 0.4198
Mg1 Mg 0.0000 0.0000 0.0000
Hg1 Hg 0.0000 0.0000 0.2388
Hg2 Hg 0.0000 0.0000 0.5000
Hg3 Hg 0.3333 0.6667 0.6510
Hg4 Hg 0.3333 0.6667 0.9134
```


Q:
Crystalline Li4MgHg7 at its relaxed geometry, computed with GGA-PBE.

- Density: 8.9 g/cm3

```
data_Li4MgHg7
_chemical_formula_sum 'Li8 Mg2 Hg14'
_cell_length_a 12.858
_cell_length_b 5.202
_cell_length_c 9.865
_cell_angle_alpha 90.00
_cell_angle_beta 124.71
_cell_angle_gamma 90.00
_space_group_name_H-M_alt 'C 1 2/m 1'
_space_group_IT_number 12
loop_
_space_group_symop_operation_xyz
'x,y,z'
'-x,-y,-z'
'-x,y,-z'
'x,-y,z'
'x+1/2,y+1/2,z'
'-x+1/2,-y+1/2,-z'
'-x+1/2,y+1/2,-z'
'x+1/2,-y+1/2,z'
loop_
_atom_site_label
_atom_site_type_symbol
_atom_site_fract_x
_atom_site_fract_y
_atom_site_fract_z
Li1 Li 0.070 0.000 0.282
Li2 Li 0.208 0.000 0.834
Mg1 Mg 0.000 0.500 0.500
Hg1 Hg 0.000 0.000 0.500
Hg2 Hg 0.076 0.500 0.841
Hg3 Hg 0.149 0.000 0.076
Hg4 Hg 0.211 0.500 0.378
```


Least stable of them? Q.


P:
Crystalline Li2MgHgN at its relaxed geometry, computed with GGA-PBE.

- Density: 5.6 g/cm3

```
data_Li2MgHgN
_chemical_formula_sum 'Li2 Mg1 Hg1 N1'
_cell_length_a 4.254
_cell_length_b 4.254
_cell_length_c 4.140
_cell_angle_alpha 90.00
_cell_angle_beta 90.00
_cell_angle_gamma 90.00
_space_group_name_H-M_alt 'P 4/m m m'
_space_group_IT_number 123
_space_group_name_Hall '-P 4 2'
loop_
_atom_site_label
_atom_site_type_symbol
_atom_site_fract_x
_atom_site_fract_y
_atom_site_fract_z
Li1 Li 0.000 0.500 0.000
Mg1 Mg 0.000 0.000 0.500
Hg1 Hg 0.500 0.500 0.500
N1 N 0.000 0.000 0.000
```


Q:
Crystalline Li2MgHgN at its relaxed geometry, computed with GGA-PBE.

- Density: 3.3 g/cm3

```
data_Li2MgHgN
_chemical_formula_sum 'Li2 Mg1 Hg1 N1'
_cell_length_a 5.042
_cell_length_b 5.042
_cell_length_c 4.990
_cell_angle_alpha 90.00
_cell_angle_beta 90.00
_cell_angle_gamma 90.00
_space_group_name_H-M_alt 'P 4/m m m'
_space_group_IT_number 123
_space_group_name_Hall '-P 4 2'
loop_
_atom_site_label
_atom_site_type_symbol
_atom_site_fract_x
_atom_site_fract_y
_atom_site_fract_z
Li1 Li 0.000 0.500 0.000
Mg1 Mg 0.000 0.000 0.000
Hg1 Hg 0.000 0.000 0.500
N1 N 0.500 0.500 0.500
```


Least stable of them? Q.


P:
Crystalline LiMnHg at its relaxed geometry, computed with GGA-PBE.

- Density: 8.5 g/cm3

```
data_LiMnHg
_chemical_formula_sum 'Li1 Mn1 Hg1'
_cell_length_a 4.5254
_cell_length_b 4.5254
_cell_length_c 2.8958
_cell_angle_alpha 90.00
_cell_angle_beta 90.00
_cell_angle_gamma 120.00
_space_group_name_H-M_alt 'P 3 m 1'
_space_group_IT_number 156
loop_
_space_group_symop_operation_xyz
'x,y,z'
'-y,x-y,z'
'-x+y,-x,z'
'-y,-x,z'
'-x+y,y,z'
'x,x-y,z'
loop_
_atom_site_label
_atom_site_type_symbol
_atom_site_fract_x
_atom_site_fract_y
_atom_site_fract_z
Li1 Li 0.0000 0.0000 0.0000
Mn1 Mn 0.3333 0.6667 0.3545
Hg1 Hg 0.6667 0.3333 0.7825
```


Q:
Crystalline LiMnHg at its relaxed geometry, computed with GGA-PBE.

- Density: 8.4 g/cm3

```
data_LiMnHg
_chemical_formula_sum 'Li2 Mn2 Hg2'
_cell_length_a 3.037
_cell_length_b 3.984
_cell_length_c 8.592
_cell_angle_alpha 90.00
_cell_angle_beta 90.00
_cell_angle_gamma 90.00
_space_group_name_H-M_alt 'I m m 2'
_space_group_IT_number 44
loop_
_space_group_symop_operation_xyz
'x,y,z'
'-x,-y,z'
'-x,y,z'
'x,-y,z'
'x+1/2,y+1/2,z+1/2'
'-x+1/2,-y+1/2,z+1/2'
'-x+1/2,y+1/2,z+1/2'
'x+1/2,-y+1/2,z+1/2'
loop_
_atom_site_label
_atom_site_type_symbol
_atom_site_fract_x
_atom_site_fract_y
_atom_site_fract_z
Li1 Li 0.000 0.000 0.000
Mn1 Mn 0.000 0.000 0.330
Hg1 Hg 0.000 0.000 0.664
```


R:
Crystalline LiMnHg at its relaxed geometry, computed with GGA-PBE.

- Density: 6.8 g/cm3

```
data_LiMnHg
_chemical_formula_sum 'Li4 Mn4 Hg4'
_cell_length_a 6.365
_cell_length_b 6.365
_cell_length_c 6.365
_cell_angle_alpha 90.00
_cell_angle_beta 90.00
_cell_angle_gamma 90.00
_space_group_name_H-M_alt 'F -4 3 m'
_space_group_IT_number 216
_space_group_name_Hall 'F -4 2 3'
loop_
_atom_site_label
_atom_site_type_symbol
_atom_site_fract_x
_atom_site_fract_y
_atom_site_fract_z
Li1 Li 0.000 0.000 0.000
Mn1 Mn 0.000 0.000 0.500
Hg1 Hg 0.250 0.250 0.750
```


Least stable of them? R.


P:
Crystalline LiMnHg3 at its relaxed geometry, computed with GGA-PBE.

- Density: 9.4 g/cm3

```
data_LiMnHg3
_chemical_formula_sum 'Li1 Mn1 Hg3'
_cell_length_a 4.888
_cell_length_b 4.888
_cell_length_c 4.888
_cell_angle_alpha 90.00
_cell_angle_beta 90.00
_cell_angle_gamma 90.00
_space_group_name_H-M_alt 'P m -3 m'
_space_group_IT_number 221
_space_group_name_Hall '-P 4 2 3'
loop_
_atom_site_label
_atom_site_type_symbol
_atom_site_fract_x
_atom_site_fract_y
_atom_site_fract_z
Li1 Li 0.000 0.000 0.000
Mn1 Mn 0.500 0.500 0.500
Hg1 Hg 0.000 0.000 0.500
```


Q:
Crystalline LiMnHg3 at its relaxed geometry, computed with GGA-PBE.

- Density: 7.8 g/cm3

```
data_LiMnHg3
_chemical_formula_sum 'Li1 Mn1 Hg3'
_cell_length_a 5.202
_cell_length_b 5.202
_cell_length_c 5.202
_cell_angle_alpha 90.00
_cell_angle_beta 90.00
_cell_angle_gamma 90.00
_space_group_name_H-M_alt 'P m -3 m'
_space_group_IT_number 221
_space_group_name_Hall '-P 4 2 3'
loop_
_atom_site_label
_atom_site_type_symbol
_atom_site_fract_x
_atom_site_fract_y
_atom_site_fract_z
Li1 Li 0.000 0.000 0.000
Mn1 Mn 0.500 0.500 0.500
Hg1 Hg 0.000 0.500 0.500
```


Least stable of them? P.


P:
Crystalline LiHgMo at its relaxed geometry, computed with GGA-PBE.

- Density: 9.8 g/cm3

```
data_LiHgMo
_chemical_formula_sum 'Li2 Hg2 Mo2'
_cell_length_a 2.748
_cell_length_b 2.748
_cell_length_c 13.649
_cell_angle_alpha 90.00
_cell_angle_beta 90.00
_cell_angle_gamma 90.00
_space_group_name_H-M_alt 'I 4 m m'
_space_group_IT_number 107
_space_group_name_Hall 'I 4 -2'
loop_
_atom_site_label
_atom_site_type_symbol
_atom_site_fract_x
_atom_site_fract_y
_atom_site_fract_z
Li1 Li 0.000 0.000 0.000
Hg1 Hg 0.000 0.000 0.661
Mo1 Mo 0.000 0.000 0.336
```


Q:
Crystalline LiHgMo at its relaxed geometry, computed with GGA-PBE.

- Density: 7.4 g/cm3

```
data_LiHgMo
_chemical_formula_sum 'Li4 Hg4 Mo4'
_cell_length_a 6.488
_cell_length_b 6.488
_cell_length_c 6.488
_cell_angle_alpha 90.00
_cell_angle_beta 90.00
_cell_angle_gamma 90.00
_space_group_name_H-M_alt 'F -4 3 m'
_space_group_IT_number 216
_space_group_name_Hall 'F -4 2 3'
loop_
_atom_site_label
_atom_site_type_symbol
_atom_site_fract_x
_atom_site_fract_y
_atom_site_fract_z
Li1 Li 0.000 0.000 0.000
Hg1 Hg 0.000 0.000 0.500
Mo1 Mo 0.250 0.250 0.250
```


R:
Crystalline LiHgMo at its relaxed geometry, computed with GGA-PBE.

- Density: 9.6 g/cm3

```
data_LiHgMo
_chemical_formula_sum 'Li1 Hg1 Mo1'
_cell_length_a 2.8652
_cell_length_b 2.8652
_cell_length_c 7.4023
_cell_angle_alpha 90.00
_cell_angle_beta 90.00
_cell_angle_gamma 120.00
_space_group_name_H-M_alt 'P 3 m 1'
_space_group_IT_number 156
loop_
_space_group_symop_operation_xyz
'x,y,z'
'-y,x-y,z'
'-x+y,-x,z'
'-y,-x,z'
'-x+y,y,z'
'x,x-y,z'
loop_
_atom_site_label
_atom_site_type_symbol
_atom_site_fract_x
_atom_site_fract_y
_atom_site_fract_z
Li1 Li 0.0000 0.0000 0.0000
Hg1 Hg 0.3333 0.6667 0.6735
Mo1 Mo 0.6667 0.3333 0.3253
```


Least stable of them? Q.


P:
Crystalline LiHg3N at its relaxed geometry, computed with GGA-PBE.

- Density: 9.1 g/cm3

```
data_LiHg3N
_chemical_formula_sum 'Li1 Hg3 N1'
_cell_length_a 4.849
_cell_length_b 4.849
_cell_length_c 4.849
_cell_angle_alpha 90.00
_cell_angle_beta 90.00
_cell_angle_gamma 90.00
_space_group_name_H-M_alt 'P m -3 m'
_space_group_IT_number 221
_space_group_name_Hall '-P 4 2 3'
loop_
_atom_site_label
_atom_site_type_symbol
_atom_site_fract_x
_atom_site_fract_y
_atom_site_fract_z
Li1 Li 0.000 0.000 0.000
Hg1 Hg 0.000 0.500 0.500
N1 N 0.500 0.500 0.500
```


Q:
Crystalline LiHg3N at its relaxed geometry, computed with GGA-PBE.

- Density: 7.3 g/cm3

```
data_LiHg3N
_chemical_formula_sum 'Li1 Hg3 N1'
_cell_length_a 5.221
_cell_length_b 5.221
_cell_length_c 5.221
_cell_angle_alpha 90.00
_cell_angle_beta 90.00
_cell_angle_gamma 90.00
_space_group_name_H-M_alt 'P m -3 m'
_space_group_IT_number 221
_space_group_name_Hall '-P 4 2 3'
loop_
_atom_site_label
_atom_site_type_symbol
_atom_site_fract_x
_atom_site_fract_y
_atom_site_fract_z
Li1 Li 0.000 0.000 0.000
Hg1 Hg 0.000 0.000 0.500
N1 N 0.500 0.500 0.500
```


Least stable of them? Q.


P:
Crystalline Li6Hg2N at its relaxed geometry, computed with GGA-PBE.

- Density: 5.7 g/cm3

```
data_Li6Hg2N
_chemical_formula_sum 'Li12 Hg4 N2'
_cell_length_a 3.391
_cell_length_b 12.230
_cell_length_c 6.426
_cell_angle_alpha 90.00
_cell_angle_beta 90.00
_cell_angle_gamma 90.00
_space_group_name_H-M_alt 'A m m 2'
_space_group_IT_number 38
loop_
_space_group_symop_operation_xyz
'x,y,z'
'-x,-y,z'
'-x,y,z'
'x,-y,z'
'x,y+1/2,z+1/2'
'-x,-y+1/2,z+1/2'
'-x,y+1/2,z+1/2'
'x,-y+1/2,z+1/2'
loop_
_atom_site_label
_atom_site_type_symbol
_atom_site_fract_x
_atom_site_fract_y
_atom_site_fract_z
Li1 Li 0.000 0.000 0.000
Li2 Li 0.000 0.093 0.677
Li3 Li 0.500 0.000 0.437
Li4 Li 0.500 0.151 0.939
Hg1 Hg 0.000 0.181 0.284
N1 N 0.500 0.000 0.781
```


Q:
Crystalline Li6Hg2N at its relaxed geometry, computed with GGA-PBE.

- Density: 5.1 g/cm3

```
data_Li6Hg2N
_chemical_formula_sum 'Li12 Hg4 N2'
_cell_length_a 9.625
_cell_length_b 6.408
_cell_length_c 6.625
_cell_angle_alpha 90.00
_cell_angle_beta 133.36
_cell_angle_gamma 90.00
_space_group_name_H-M_alt 'C 1 2/m 1'
_space_group_IT_number 12
loop_
_space_group_symop_operation_xyz
'x,y,z'
'-x,-y,-z'
'-x,y,-z'
'x,-y,z'
'x+1/2,y+1/2,z'
'-x+1/2,-y+1/2,-z'
'-x+1/2,y+1/2,-z'
'x+1/2,-y+1/2,z'
loop_
_atom_site_label
_atom_site_type_symbol
_atom_site_fract_x
_atom_site_fract_y
_atom_site_fract_z
Li1 Li 0.002 0.215 0.297
Li2 Li 0.225 0.500 0.223
Hg1 Hg 0.239 0.000 0.237
N1 N 0.000 0.000 0.500
```


Least stable of them? P.


P:
Crystalline LiHgSN2 at its relaxed geometry, computed with GGA-PBE.

- Density: 4.4 g/cm3

```
data_LiHgSN2
_chemical_formula_sum 'Li1 Hg1 S1 N2'
_cell_length_a 4.330
_cell_length_b 4.330
_cell_length_c 5.374
_cell_angle_alpha 90.00
_cell_angle_beta 90.00
_cell_angle_gamma 90.00
_space_group_name_H-M_alt 'P 4/m m m'
_space_group_IT_number 123
_space_group_name_Hall '-P 4 2'
loop_
_atom_site_label
_atom_site_type_symbol
_atom_site_fract_x
_atom_site_fract_y
_atom_site_fract_z
Li1 Li 0.000 0.000 0.000
Hg1 Hg 0.500 0.500 0.500
S1 S 0.500 0.500 0.000
N1 N 0.000 0.500 0.500
```


Q:
Crystalline LiHgSN2 at its relaxed geometry, computed with GGA-PBE.

- Density: 5.7 g/cm3

```
data_LiHgSN2
_chemical_formula_sum 'Li1 Hg1 S1 N2'
_cell_length_a 3.843
_cell_length_b 3.843
_cell_length_c 5.294
_cell_angle_alpha 90.00
_cell_angle_beta 90.00
_cell_angle_gamma 90.00
_space_group_name_H-M_alt 'P 4/m m m'
_space_group_IT_number 123
_space_group_name_Hall '-P 4 2'
loop_
_atom_site_label
_atom_site_type_symbol
_atom_site_fract_x
_atom_site_fract_y
_atom_site_fract_z
Li1 Li 0.000 0.000 0.000
Hg1 Hg 0.500 0.500 0.500
S1 S 0.000 0.000 0.500
N1 N 0.000 0.500 0.000
```


Least stable of them? Q.